Run w
Below is a geometry-optimized MgZrZn3 structure, with properties calculated at the PBE level.

Calculated values
Fermi-level density of states: 4.05 states/eV per cell

```
MgZrZn3
1.0
5.2271 0.0000 0.0000
0.0000 5.2271 0.0000
0.0000 0.0000 5.2271
Mg Zn Zr
1 3 1
direct
0.5000 0.5000 0.5000
0.0000 0.0000 0.5000
0.0000 0.5000 0.0000
0.5000 0.0000 0.0000
0.0000 0.0000 0.0000
```

---

Run x
Below is a geometry-optimized MgZrZn3 structure, with properties calculated at the PBE level.

Calculated values
Fermi-level density of states: 6.67 states/eV per cell

```
MgZrZn3
1.0
4.3753 0.0000 0.0000
0.0000 3.1692 0.0000
0.0000 -1.5846 12.7904
Zr Zn Mg
2 6 2
direct
0.2500 0.0720 0.1439
0.7500 0.9280 0.8561
0.2500 0.4756 0.9512
0.7500 0.3271 0.6542
0.2500 0.6729 0.3458
0.7500 0.5244 0.0488
0.2500 0.3777 0.7554
0.7500 0.6223 0.2446
0.2500 0.7847 0.5695
0.7500 0.2153 0.4305
```

---

run w is the least stable structure shown above.